(1)
The following is a DFT calculation (GGA-PBE) of a relaxed structure of BaPmAgCl6.

Cell: 7.0703 7.0703 13.6355 Å, 90.00 90.00 120.00°
Space group P-31c (No. 163)
Inequivalent atoms, fractional coordinates:
Ba 0.0000 0.0000 0.0000 x2
Pm 0.3333 0.6667 0.2500 x2
Ag 0.3333 0.6667 0.7500 x2
Cl 0.0075 0.3600 0.1347 x12

- raw total energy (Ha/atom) = -0.155
- volume (A^3/atom) = 32.8
- crystal system = trigonal
- ΔE_f (raw) (eV per atom) = -1.936

(2)
The following is a DFT calculation (GGA-PBE) of a relaxed structure of FeCo4Pt.

Cell: 4.0451 4.0451 5.1089 Å, 90.00 90.00 120.00°
Space group P6/mmm (No. 191)
Inequivalent atoms, fractional coordinates:
Fe 0.0000 0.0000 0.0000 x1
Co 0.3333 0.6667 0.2355 x4
Pt 0.0000 0.0000 0.5000 x1

- DFT formation energy (eV per atom) = -0.028
- raw total energy (Ha/atom) = -0.264
- volume (A^3/atom) = 12.1
- excess energy over the best structure of this formula in the dataset (eV/atom) = 0.0000
- crystal system = hexagonal

(3)
The following is a DFT calculation (GGA-PBE) of a relaxed structure of CuNiOsPt2.

Cell: 4.515 4.515 4.152 Å, 90.00 90.00 90.00°
Space group P4/mmm (No. 123)
Inequivalent atoms, fractional coordinates:
Cu 0.000 0.000 0.000 x1
Ni 0.000 0.000 0.500 x1
Os 0.500 0.500 0.500 x1
Pt 0.000 0.500 0.000 x2

- DFT formation energy (eV per atom) = 1.471
- raw total energy (Ha/atom) = -0.190
- volume (A^3/atom) = 16.9
- crystal system = tetragonal

(4)
The following is a DFT calculation (GGA-PBE) of a relaxed structure of ScNiPdPt.

Cell: 6.282 6.282 6.282 Å, 90.00 90.00 90.00°
Space group F-43m (No. 216)
Inequivalent atoms, fractional coordinates:
Sc 0.000 0.000 0.000 x4
Ni 0.000 0.000 0.500 x4
Pd 0.250 0.250 0.250 x4
Pt 0.250 0.250 0.750 x4

- DFT formation energy (eV per atom) = -0.634
- raw total energy (Ha/atom) = -0.238
- volume (A^3/atom) = 15.5
- excess energy over the best structure of this formula in the dataset (eV/atom) = 0.1543
- crystal system = cubic

(5)
The following is a DFT calculation (GGA-PBE) of a relaxed structure of Al2NiSe.

Cell: 7.944 3.712 5.550 Å, 90.00 108.08 90.00°
Space group Cm (No. 8)
Inequivalent atoms, fractional coordinates:
Al 0.000 0.000 0.000 x2
Al 0.246 0.500 0.240 x2
Ni 0.450 0.000 0.254 x2
Se 0.037 0.000 0.574 x2

- raw total energy (Ha/atom) = -0.163
- volume (A^3/atom) = 19.4
- crystal system = monoclinic
- ΔE_f (raw) (eV per atom) = -0.259

(6)
The following is a DFT calculation (GGA-PBE) of a relaxed structure of Pm2NpPaN4.

Cell: 6.122 3.534 6.160 Å, 90.00 109.61 90.00°
Space group P2/m (No. 10)
Inequivalent atoms, fractional coordinates:
Pm 0.000 0.000 0.000 x1
Pm 0.500 0.500 0.000 x1
Np 0.000 0.500 0.500 x1
Pa 0.500 0.000 0.500 x1
N 0.241 0.000 0.720 x2
N 0.264 0.500 0.279 x2

- raw total energy (Ha/atom) = -0.353
- volume (A^3/atom) = 15.7
- crystal system = monoclinic
- ΔE_f (raw) (eV per atom) = -1.440